(1)
The following is a DFT calculation (GGA-PBE) of a relaxed structure of Cs2NaBr6F.

The space group is I4/mmm (No. 139) and the conventional cell measures 7.568, 7.568 and 12.670 Å, with angles of 90.00, 90.00 and 90.00 degrees. The inequivalent atoms are Cs at (0.000, 0.500, 0.250), Na at (0.000, 0.000, 0.000), Br at (0.000, 0.000, 0.216), Br at (0.222, 0.222, 0.500) and F at (0.000, 0.000, 0.500).

The value obtained for the density of states at the Fermi level is 11.5 states/eV per cell.

---

(2)
The following is a DFT calculation (GGA-PBE) of a relaxed structure of Cs2NbBrF6.

The space group is P-1 (No. 2) and the conventional cell measures 5.812, 6.301 and 8.414 Å, with angles of 110.13, 90.17 and 117.18 degrees. The inequivalent atoms are Cs at (0.218, 0.435, 0.188), Nb at (0.000, 0.000, 0.500), Br at (0.500, 0.000, 0.000), F at (0.104, 0.213, 0.747), F at (0.126, 0.781, 0.536) and F at (0.344, 0.220, 0.467).

The value obtained for the density of states at the Fermi level is 0.0 states/eV per cell.

---

(3)
The following is a DFT calculation (GGA-PBE) of a relaxed structure of Cs2NbBr4F2.

The space group is C2/m (No. 12) and the conventional cell measures 12.430, 7.979 and 6.230 Å, with angles of 90.00, 102.39 and 90.00 degrees. The inequivalent atoms are Cs at (0.170, 0.000, 0.324), Nb at (0.000, 0.500, 0.000), Br at (0.094, 0.263, 0.809) and F at (0.127, 0.500, 0.246).

---

(4)
The following is a DFT calculation (GGA-PBE) of a relaxed structure of Cs3NbBr2F6.

The space group is C2/m (No. 12) and the conventional cell measures 17.619, 8.461 and 5.523 Å, with angles of 90.00, 92.36 and 90.00 degrees. The inequivalent atoms are Cs at (0.000, 0.000, 0.000), Cs at (0.250, 0.250, 0.500), Nb at (0.000, 0.500, 0.500), Br at (0.197, 0.000, 0.995), F at (0.016, 0.334, 0.739) and F at (0.109, 0.500, 0.446).

The value obtained for the density of states at the Fermi level is 0.0 states/eV per cell.

---

no.,ρ (g/cm³),VASP energy (eV per atom)
1,3.6,-2.316
2,3.6,-5.290
3,3.9,-4.368
4,3.1,-4.904